Compound: NaOsSe3
Source: Alexandria via LeMat-Bulk
Functional: GGA-PBE
Structure: relaxed

Unit cell a=4.9834 b=4.9834 c=4.9834 alpha=90.00 beta=90.00 gamma=90.00
Last column: nearest neighbours and their distance in Å.
Space group Pm-3m (No. 221)
One atom of each set of equivalent atoms:
Na  0.0000  0.0000  0.0000  6 Se 2.49
Os  0.5000  0.5000  0.5000  12 Se 3.52
Se  0.0000  0.0000  0.5000  2 Na 2.49

Results
* raw total energy: -2.90 eV/atom
* D(E_F): 11.75 states/eV/cell
* calculated density: 6.0 Mg/m³
* excess energy over the best structure of this formula in the dataset: 1512 meV per atom